Below is a geometry-optimized MgTc2Ni structure, with properties calculated at the GGA-PBE level.

E_tot = -0.253 hartree per atom
calculated formation energy = 0.1479 eV/atom
magnetic moment = 0.00 μB per cell

The structure in CIF format:
```
data_MgTc2Ni
_chemical_formula_sum 'Mg2 Tc4 Ni2'
_space_group_name_H-M_alt 'I m m 2'
_space_group_IT_number 44
_space_group_name_Hall 'I 2 -2'
_cell_length_a 3.293
_cell_length_b 4.305
_cell_length_c 7.995
_cell_angle_alpha 90.00
_cell_angle_beta 90.00
_cell_angle_gamma 90.00
loop_
_atom_site_label
_atom_site_fract_x
_atom_site_fract_y
_atom_site_fract_z
Mg1 0.000 0.000 0.000
Tc1 0.000 0.000 0.494
Tc2 0.000 0.500 0.232
Ni1 0.000 0.500 0.745
```

Below is a geometry-optimized Pr2LuH structure, with properties calculated at the GGA-PBE level.

E_tot = -0.157 hartree per atom
magnetic moment = 0.00 μB per cell

The structure in CIF format:
```
data_Pr2LuH
_chemical_formula_sum 'Pr2 Lu1 H1'
_space_group_name_H-M_alt 'P 4/m m m'
_space_group_IT_number 123
_space_group_name_Hall '-P 4 2'
_cell_length_a 3.455
_cell_length_b 3.455
_cell_length_c 8.590
_cell_angle_alpha 90.00
_cell_angle_beta 90.00
_cell_angle_gamma 90.00
loop_
_atom_site_label
_atom_site_fract_x
_atom_site_fract_y
_atom_site_fract_z
Pr1 0.000 0.000 0.193
Lu1 0.500 0.500 0.500
H1 0.500 0.500 0.000
```

Below is a geometry-optimized Tb3Y2Ho2 structure, with properties calculated at the GGA-PBE level.

E_tot = -0.185 hartree per atom
offset from the most stable computed form = 8.8 kJ/mol of atoms
calculated formation energy = 0.1096 eV/atom
magnetic moment = 0.00 μB per cell

The structure in CIF format:
```
data_Tb3Y2Ho2
_chemical_formula_sum 'Tb6 Y4 Ho4'
_space_group_name_H-M_alt 'C 1 2/m 1'
_space_group_IT_number 12
_space_group_name_Hall '-C 2y'
_cell_length_a 17.391
_cell_length_b 3.505
_cell_length_c 8.503
_cell_angle_alpha 90.00
_cell_angle_beta 119.11
_cell_angle_gamma 90.00
loop_
_atom_site_label
_atom_site_fract_x
_atom_site_fract_y
_atom_site_fract_z
Tb1 0.000 0.000 0.000
Tb2 0.212 0.000 0.302
Y1 0.146 0.000 0.824
Ho1 0.065 0.500 0.408
```

magnetic moment of number 3 (Tb3Y2Ho2)? 0.00 μB per cell

Repeat the third record exactly.
Below is a geometry-optimized Tb3Y2Ho2 structure, with properties calculated at the GGA-PBE level.

E_tot = -0.185 hartree per atom
offset from the most stable computed form = 8.8 kJ/mol of atoms
calculated formation energy = 0.1096 eV/atom
magnetic moment = 0.00 μB per cell

The structure in CIF format:
```
data_Tb3Y2Ho2
_chemical_formula_sum 'Tb6 Y4 Ho4'
_space_group_name_H-M_alt 'C 1 2/m 1'
_space_group_IT_number 12
_space_group_name_Hall '-C 2y'
_cell_length_a 17.391
_cell_length_b 3.505
_cell_length_c 8.503
_cell_angle_alpha 90.00
_cell_angle_beta 119.11
_cell_angle_gamma 90.00
loop_
_atom_site_label
_atom_site_fract_x
_atom_site_fract_y
_atom_site_fract_z
Tb1 0.000 0.000 0.000
Tb2 0.212 0.000 0.302
Y1 0.146 0.000 0.824
Ho1 0.065 0.500 0.408
```

Which of these has the highest E_tot? Pr2LuH